TiAlPbBr2 | SCAN | single point on PBEsol structure

abc: 4.929 4.929 5.640
angles: 90.00 90.00 90.00
Each line ends with the local moment (μB).
Sites, in units of the cell vectors:
Pb  0.000  0.000  0.500  0.08
Al  0.000  0.000  0.000  0.01
Br  0.000  0.500  0.000  0.03
Br  0.500  0.000  0.000  0.03
Ti  0.500  0.500  0.500  2.03

Calculated values
Raw formation energy, kJ per mole of atoms: 19.2
Uncorrected energy, eV per cell: -137.49

CaCd2Ir2 | SCAN | single point on PBEsol structure

abc: 4.299 4.299 6.417
angles: 109.57 109.57 90.00
Sites, in units of the cell vectors:
Ca  0.000  0.000  0.000
Ir  0.396  0.396  0.792
Ir  0.604  0.604  0.208
Cd  0.250  0.750  0.500
Cd  0.750  0.250  0.500

Calculated values
DFT formation energy, eV per atom: -0.09
Uncorrected energy, eV per cell: -213.16

Pb2CCl | SCAN | single point on PBEsol structure

abc: 4.874 4.874 4.874
angles: 60.00 60.00 60.00
Sites, in units of the cell vectors:
Pb  0.250  0.250  0.250
Pb  0.750  0.750  0.750
C  0.000  0.000  0.000
Cl  0.500  0.500  0.500

Calculated values
Raw formation energy, kJ per mole of atoms: 98.2
Uncorrected energy, eV per cell: -165.57

SrZn2Cl | SCAN | single point on PBEsol structure

abc: 3.974 3.974 6.683
angles: 107.09 107.09 90.66
Sites, in units of the cell vectors:
Sr  0.000  0.000  0.000
Zn  0.500  0.000  0.500
Zn  0.000  0.500  0.500
Cl  0.500  0.500  0.000

Calculated values
Raw formation energy, kJ per mole of atoms: -69.1
Uncorrected energy, eV per cell: -60.15

Rb2TcAgF | SCAN | single point on PBEsol structure

abc: 4.973 6.447 6.447
angles: 90.00 90.00 90.00
Each line ends with the local moment (μB).
Sites, in units of the cell vectors:
Rb  0.000  0.000  0.500  0.03
Rb  0.000  0.500  0.000  0.03
Tc  0.000  0.000  0.000  3.19
Ag  0.500  0.000  0.000  0.12
F  0.500  0.500  0.500  0.00

Calculated values
Raw formation energy, kJ per mole of atoms: 36.1
Uncorrected energy, eV per cell: -109.57

LaMg2Ni | SCAN | single point on PBEsol structure

abc: 3.250 3.250 8.099
angles: 90.00 90.00 90.00
Sites, in units of the cell vectors:
La  0.500  0.500  0.694
Mg  0.000  0.000  0.034
Mg  0.500  0.500  0.300
Ni  0.000  0.000  0.472

Calculated values
DFT formation energy, eV per atom: -0.12
Uncorrected energy, eV per cell: -69.69

CsVSeO5 | SCAN | single point on PBEsol structure

abc: 7.813 7.917 9.424
angles: 93.51 90.00 90.00
Sites, in units of the cell vectors:
Cs  0.009  0.117  0.400
Cs  0.509  0.883  0.600
Cs  0.745  0.591  0.135
Cs  0.245  0.409  0.865
Se  0.001  0.621  0.551
Se  0.501  0.379  0.449
Se  0.275  0.881  0.076
Se  0.775  0.119  0.924
O  0.106  0.435  0.164
O  0.606  0.565  0.836
O  0.843  0.312  0.869
O  0.343  0.688  0.131
O  0.072  0.742  0.296
O  0.572  0.258  0.704
O  0.139  0.488  0.453
O  0.639  0.512  0.547
O  0.936  0.479  0.671
O  0.436  0.521  0.329
O  0.673  0.922  0.303
O  0.173  0.078  0.697
O  0.879  0.910  0.686
O  0.379  0.090  0.314
O  0.474  0.978  0.056
O  0.974  0.022  0.944
O  0.730  0.180  0.098
O  0.230  0.820  0.902
O  0.656  0.273  0.345
O  0.156  0.727  0.655
V  0.701  0.423  0.732
V  0.201  0.577  0.268
V  0.569  0.075  0.234
V  0.069  0.925  0.766

Calculated values
Raw formation energy, kJ per mole of atoms: -186.4
Uncorrected energy, eV per cell: -487.94

K2CdCoAg | SCAN | single point on PBEsol structure

abc: 4.935 5.840 5.840
angles: 90.00 90.00 90.00
Each line ends with the local moment (μB).
Sites, in units of the cell vectors:
K  0.000  0.000  0.500  0.01
K  0.000  0.500  0.000  0.01
Co  0.000  0.000  0.000  1.93
Ag  0.500  0.500  0.500  0.00
Cd  0.500  0.000  0.000  -0.01

Calculated values
DFT formation energy, eV per atom: 0.55
Uncorrected energy, eV per cell: -92.97

Os2RhPb | SCAN | single point on PBEsol structure

abc: 2.878 4.787 4.922
angles: 98.62 90.00 107.49
Sites, in units of the cell vectors:
Os  0.762  0.524  0.785
Os  0.238  0.476  0.215
Pb  0.000  0.000  0.500
Rh  0.500  0.000  0.000

Calculated values
DFT formation energy, eV per atom: 0.70
Uncorrected energy, eV per cell: -250.52

AlTeRh2 | SCAN | single point on PBEsol structure

abc: 3.206 4.427 4.427
angles: 90.00 90.00 90.00
Sites, in units of the cell vectors:
Te  0.500  0.500  0.500
Rh  0.000  0.000  0.500
Rh  0.000  0.500  0.000
Al  0.500  0.000  0.000

Calculated values
Energy above the lowest structure with this stoichiometry, eV per formula unit: 0.498
Raw formation energy, kJ per mole of atoms: -38.2
Uncorrected energy, eV per cell: -114.13

Sr3CdO4 | SCAN | single point on PBEsol structure

abc: 5.032 5.032 5.032
angles: 90.00 90.00 90.00
Sites, in units of the cell vectors:
Sr  0.500  0.000  0.500
Sr  0.500  0.500  0.000
Sr  0.000  0.500  0.500
O  0.500  0.500  0.500
O  0.500  0.000  0.000
O  0.000  0.500  0.000
O  0.000  0.000  0.500
Cd  0.000  0.000  0.000

Calculated values
Raw formation energy, kJ per mole of atoms: -243.8
Uncorrected energy, eV per cell: -142.38

ZnRe3O | SCAN | single point on PBEsol structure

abc: 4.038 4.038 4.038
angles: 90.00 90.00 90.00
Sites, in units of the cell vectors:
Re  0.000  0.500  0.000
Re  0.000  0.000  0.500
Re  0.500  0.000  0.000
Zn  0.500  0.500  0.500
O  0.000  0.000  0.000

Calculated values
Raw formation energy, kJ per mole of atoms: 63.9
Uncorrected energy, eV per cell: -229.73

KTiSn2 | SCAN | single point on PBEsol structure

abc: 5.143 5.143 5.143
angles: 60.00 60.00 60.00
Each line ends with the local moment (μB).
Sites, in units of the cell vectors:
K  0.000  0.000  0.000  -0.01
Sn  0.250  0.250  0.250  -0.02
Sn  0.750  0.750  0.750  -0.02
Ti  0.500  0.500  0.500  1.16

Calculated values
DFT formation energy, eV per atom: 0.18
Uncorrected energy, eV per cell: -95.49

YTaCo | SCAN | single point on PBEsol structure

abc: 4.359 4.359 4.359
angles: 60.00 60.00 60.00
Sites, in units of the cell vectors:
Co  0.500  0.500  0.500
Ta  0.250  0.250  0.250
Y  0.000  0.000  0.000

Calculated values
DFT formation energy, eV per atom: 1.02
Uncorrected energy, eV per cell: -108.69

SrCo2Cl | SCAN | single point on PBEsol structure

abc: 3.763 3.764 5.463
angles: 90.00 90.00 90.03
Each line ends with the local moment (μB).
Sites, in units of the cell vectors:
Sr  0.500  0.500  0.000  -0.03
Co  0.000  0.000  0.698  1.66
Co  0.000  0.000  0.302  1.66
Cl  0.500  0.500  0.500  0.04

Calculated values
Energy above the lowest structure with this stoichiometry, eV per formula unit: 2.085
Raw formation energy, kJ per mole of atoms: 40.1
Uncorrected energy, eV per cell: -63.20

BaHg2Te | SCAN | single point on PBEsol structure

abc: 4.713 4.713 7.211
angles: 108.96 108.96 90.33
Sites, in units of the cell vectors:
Ba  0.000  0.000  0.000
Hg  0.000  0.000  0.500
Hg  0.500  0.500  0.500
Te  0.500  0.500  0.000

Calculated values
Raw formation energy, kJ per mole of atoms: -76.5
Uncorrected energy, eV per cell: -216.31

PtOF3 | SCAN | single point on PBEsol structure

abc: 3.803 3.803 3.803
angles: 90.00 90.00 90.00
Each line ends with the local moment (μB).
Sites, in units of the cell vectors:
O  0.000  0.000  0.000  -0.04
Pt  0.500  0.500  0.500  1.39
F  0.000  0.500  0.000  0.06
F  0.000  0.000  0.500  0.06
F  0.500  0.000  0.000  0.06

Calculated values
Raw formation energy, kJ per mole of atoms: 73.7
Uncorrected energy, eV per cell: -83.22

Eu2MgTl | SCAN | single point on PBEsol structure

abc: 5.516 5.516 5.516
angles: 60.00 60.00 60.00
Each line ends with the local moment (μB).
Sites, in units of the cell vectors:
Eu  0.750  0.750  0.750  6.89
Eu  0.250  0.250  0.250  6.89
Tl  0.000  0.000  0.000  0.00
Mg  0.500  0.500  0.500  0.00

Calculated values
DFT formation energy, eV per atom: -0.39
Uncorrected energy, eV per cell: -186.30

ReMo3 | SCAN | single point on PBEsol structure

abc: 2.702 5.159 5.159
angles: 117.02 100.06 100.06
Sites, in units of the cell vectors:
Re  0.500  0.000  0.000
Mo  0.000  0.500  0.000
Mo  0.500  0.500  0.500
Mo  0.000  0.000  0.500

Calculated values
DFT formation energy, eV per atom: 0.00
Uncorrected energy, eV per cell: -175.74

IrOs3 | SCAN | single point on PBEsol structure

abc: 4.699 5.423 13.187
angles: 90.00 90.00 90.00
Sites, in units of the cell vectors:
Ir  0.499  0.500  0.500
Ir  0.833  0.500  0.165
Ir  0.833  0.500  0.835
Ir  0.501  0.000  0.000
Ir  0.167  0.000  0.665
Ir  0.167  0.000  0.335
Os  0.331  0.749  0.164
Os  0.331  0.749  0.836
Os  0.001  0.750  0.500
Os  0.999  0.750  0.000
Os  0.669  0.751  0.664
Os  0.669  0.751  0.336
Os  0.499  0.500  0.000
Os  0.168  0.500  0.665
Os  0.168  0.500  0.335
Os  0.331  0.251  0.164
Os  0.331  0.251  0.836
Os  0.001  0.250  0.500
Os  0.999  0.250  0.000
Os  0.669  0.249  0.664
Os  0.669  0.249  0.336
Os  0.501  0.000  0.500
Os  0.832  0.000  0.165
Os  0.832  0.000  0.835

Calculated values
DFT formation energy, eV per atom: 0.07
Uncorrected energy, eV per cell: -1718.65